Below is a relaxed structure of ReRu2Pt, with properties calculated at the PBEsol level.

Calculated values
- Offset from the most stable computed form: 24 meV/atom
- Density of states at the Fermi level: 4.3 states/eV per cell
- Uncorrected energy: -0.373 hartree per atom

```
ReRu2Pt
1.0
1.3537 0.7816 8.8676
-1.3537 0.7816 8.8676
0.0000 -1.5631 8.8676
Re Ru Pt
1 2 1
direct
0.0000 0.0000 0.0000
0.2527 0.2527 0.2527
0.7473 0.7473 0.7473
0.5000 0.5000 0.5000
```

---

Below is a relaxed structure of Mn2InTcTe, with properties calculated at the PBEsol level.

Calculated values
- Formation energy (no corrections): 1.25 eV per atom
- Density of states at the Fermi level: 5.0 states/eV per cell
- Uncorrected energy: -0.228 hartree per atom

```
Mn2InTcTe
1.0
4.7013 0.0000 0.0000
0.0000 4.7013 0.0000
0.0000 0.0000 4.9284
Mn In Tc Te
2 1 1 1
direct
0.0000 0.5000 0.0000
0.5000 0.0000 0.0000
0.0000 0.0000 0.5000
0.5000 0.5000 0.5000
0.5000 0.5000 0.0000
```

---

Below is a relaxed structure of SrTcP2, with properties calculated at the PBEsol level.

Calculated values
- Offset from the most stable computed form: 1012 meV/atom
- Density of states at the Fermi level: 3.3 states/eV per cell
- Uncorrected energy: -0.213 hartree per atom

```
SrTcP2
1.0
-1.9593 1.9593 4.7161
1.9593 -1.9593 4.7161
1.9593 1.9593 -4.7161
Sr Tc P
1 1 2
direct
0.0000 0.0000 0.0000
0.7500 0.2500 0.5000
0.2500 0.7500 0.5000
0.5000 0.5000 0.0000
```

---

Below is a relaxed structure of Cs2BeO2, with properties calculated at the PBEsol level.

Calculated values
- Offset from the most stable computed form: 0 meV/atom
- Formation energy (no corrections): -1.80 eV per atom
- Density of states at the Fermi level: 0.0 states/eV per cell
- Uncorrected energy: -0.187 hartree per atom

```
Cs2BeO2
1.0
8.1104 0.0000 0.0000
0.0000 6.0398 0.0000
-7.7645 0.0000 8.7476
Cs Be O
8 4 8
direct
0.1191 0.0440 0.2258
0.1191 0.4560 0.7258
0.3021 0.5967 0.1205
0.3021 0.9033 0.6205
0.6979 0.0967 0.3795
0.6979 0.4033 0.8795
0.8809 0.5440 0.2742
0.8809 0.9560 0.7742
0.4070 0.0606 0.0232
0.4070 0.4394 0.5232
0.5930 0.5606 0.4768
0.5930 0.9394 0.9768
0.2727 0.1337 0.0632
0.2727 0.3663 0.5632
0.3362 0.5944 0.3859
0.3362 0.9056 0.8859
0.6638 0.0944 0.1141
0.6638 0.4056 0.6141
0.7273 0.6337 0.4368
0.7273 0.8663 0.9368
```

---

Below is a relaxed structure of MgIn2SnF, with properties calculated at the PBEsol level.

Calculated values
- Formation energy (no corrections): 0.08 eV per atom
- Density of states at the Fermi level: 3.4 states/eV per cell
- Uncorrected energy: -0.099 hartree per atom

```
MgIn2SnF
1.0
5.6361 0.0000 0.0000
0.0000 5.6361 0.0000
0.0000 0.0000 5.3349
Mg In Sn F
1 2 1 1
direct
0.0000 0.0000 0.0000
0.0000 0.5000 0.5000
0.5000 0.0000 0.5000
0.0000 0.0000 0.5000
0.5000 0.5000 0.0000
```

---

Below is a relaxed structure of YPBr2, with properties calculated at the PBEsol level.

Calculated values
- Offset from the most stable computed form: 0 meV/atom
- Formation energy (no corrections): -1.12 eV per atom
- Density of states at the Fermi level: 0.1 states/eV per cell
- Uncorrected energy: -0.191 hartree per atom

```
YPBr2
1.0
7.2222 -1.8756 0.0000
7.2222 1.8756 0.0000
-0.2155 0.0000 4.1721
Y P Br
1 1 2
direct
0.0000 0.0000 0.0000
0.5000 0.5000 0.5000
0.3474 0.3474 0.7891
0.6526 0.6526 0.2109
```